No. 1
Rb2MgH2I2 after structural relaxation. Source: the Alexandria database, functional PBE-GGA.

Computed properties:
For the electronic total energy, the calculation gives -18.33 eV for the cell shown. The space group is I4/mmm (139). The density of states at the Fermi level is 0.0000 states/eV per atom.

```
Rb2MgH2I2
1.0
-2.3878 2.3878 9.0284
2.3878 -2.3878 9.0284
2.3878 2.3878 -9.0284
Rb Mg H I
2 1 2 2
Direct
0.1106 0.1106 0.0000
0.8894 0.8894 0.0000
0.5000 0.5000 0.0000
0.0000 0.5000 0.5000
0.5000 0.0000 0.5000
0.3392 0.3392 0.0000
0.6608 0.6608 0.0000
```

=====

No. 2
Mg2HRhI after structural relaxation. Source: the Alexandria database, functional PBE-GGA.

Computed properties:
For the electronic total energy, the calculation gives -15.84 eV for the cell shown. The space group is P4/mmm (123). The density of states at the Fermi level is 0.3584 states/eV per atom.

```
Mg2HRhI
1.0
5.0724 0.0000 0.0000
0.0000 5.0724 0.0000
0.0000 0.0000 3.4546
Mg H Rh I
2 1 1 1
Direct
0.0000 0.5000 0.0000
0.5000 0.0000 0.0000
0.0000 0.0000 0.0000
0.0000 0.0000 0.5000
0.5000 0.5000 0.5000
```

=====

No. 3
MgH2RhI after structural relaxation. Source: the Alexandria database, functional PBE-GGA.

Computed properties:
For the electronic total energy, the calculation gives -15.49 eV for the cell shown. The space group is P4/mmm (123). The density of states at the Fermi level is 0.8450 states/eV per atom.

```
MgH2RhI
1.0
3.7540 0.0000 0.0000
0.0000 3.7540 0.0000
0.0000 0.0000 6.6964
Mg H Rh I
1 2 1 1
Direct
0.0000 0.0000 0.0000
0.0000 0.5000 0.0000
0.5000 0.0000 0.0000
0.5000 0.5000 0.5000
0.0000 0.0000 0.5000
```

=====

No. 4
MgSbHI2 after structural relaxation. Source: the Alexandria database, functional PBE-GGA.

Computed properties:
For the electronic total energy, the calculation gives -11.16 eV for the cell shown. The polymorph energy (0 for the lowest one) is 0 meV/atom. The space group is P4/mmm (123). The density of states at the Fermi level is 0.4496 states/eV per atom.

```
MgSbHI2
1.0
5.6588 0.0000 0.0000
0.0000 5.6588 0.0000
0.0000 0.0000 3.9798
Mg Sb H I
1 1 1 2
Direct
0.0000 0.0000 0.0000
0.5000 0.5000 0.0000
0.5000 0.5000 0.5000
0.0000 0.5000 0.5000
0.5000 0.0000 0.5000
```

=====

- Which of these has the lowest density of states at the Fermi level?
  Rb2MgH2I2

=====

- electronic total energy of number 2 (Mg2HRhI)?
  -15.84 eV for the cell shown

=====

- What is the electronic total energy in the first record?
  -18.33 eV for the cell shown

=====

- density of states at the Fermi level of number 3 (MgH2RhI)?
  0.8450 states/eV per atom